TbPm4H8: relaxed, PBE-GGA.

```
TbPm4H8
1.0
5.822 0.000 0.000
0.000 5.822 0.000
0.000 0.000 5.822
H Pm Tb
8 4 1
Cartesian
1.543 4.280 4.280
1.542 1.543 1.542
4.280 1.543 4.280
1.542 4.280 1.543
4.280 4.280 1.543
4.280 1.543 1.543
4.280 4.280 4.280
1.543 1.543 4.280
0.000 2.911 2.911
2.911 2.911 0.000
0.000 0.000 0.000
2.911 0.000 2.911
2.911 2.911 2.911
```

Values from the calculation:
Electronic total energy (eV per cell): -53.376